Ag3H: optimized geometry, PBE.

Computed properties:
Excess energy over the best structure of this formula in the dataset, eV/f.u.: 0.00
Space group: Imm2, No. 44
Fermi-level density of states, states/eV/f.u.: 0.8

```
Ag3H
1.0
2.803 0.000 0.000
0.000 5.147 0.000
-1.402 -2.573 4.045
Ag H
3 1
Cartesian
1.402 -0.432 1.472
0.000 2.141 2.573
1.402 2.142 0.000
0.000 4.727 0.000
```